CrHgO4F | PBE+U | relaxed

Values from the calculation:
The value obtained for the total energy is -69.86 eV per cell. As for the total moment: 1.8 Bohr magnetons per cell. The symmetry is C2/m.

Cell lengths 5.731, 5.731, 8.301 Å; angles 72.37, 72.37, 75.16 degrees
Element x y z (fractional)
Cr  0.627  0.627  0.734
Cr  0.373  0.373  0.266
O  0.427  0.427  0.841
O  0.898  0.520  0.794
O  0.520  0.898  0.794
O  0.480  0.102  0.206
O  0.102  0.480  0.206
O  0.331  0.331  0.474
O  0.573  0.573  0.159
O  0.669  0.669  0.526
F  0.040  0.040  0.151
F  0.960  0.960  0.849
Hg  0.200  0.200  0.813
Hg  0.800  0.800  0.187